(1)
This record from Alexandria describes a geometry-optimized KCaTa4 structure. The functional is PBE.

Unit cell a=5.8796 b=5.8796 c=5.8796 alpha=60.00 beta=60.00 gamma=60.00
Closest atoms and distances in Å follow each position.
Positions (direct):
Ta 0.3813 0.3813 0.3813  6 Ta 2.79-3.09
Ta 0.3813 0.3813 0.8562  6 Ta 2.79-3.09
Ta 0.3813 0.8562 0.3813  6 Ta 2.79-3.09
Ta 0.8562 0.3813 0.3813  6 Ta 2.79-3.09
Ca 0.7500 0.7500 0.7500  12 Ta 3.43, 4 K 3.60
K 0.0000 0.0000 0.0000  12 Ta 3.46, 4 Ca 3.60

**Space-group type**: F-43m, No. 216
**Final energy**: -44.6 eV for the cell shown
**M_tot**: 0.00 μB/cell

(2)
This record from Alexandria describes a geometry-optimized K2TcOsF structure. The functional is PBE.

Unit cell a=6.5074 b=4.0369 c=6.5074 alpha=90.00 beta=90.00 gamma=90.00
Closest atoms and distances in Å follow each position.
Positions (direct):
K 0.5000 0.0000 0.0000  2 Tc 3.25
K 0.0000 0.0000 0.5000  2 Tc 3.25
Os 0.5000 0.5000 0.5000  8 K 3.83, 2 Os 4.04
F 0.0000 0.5000 0.0000  2 Tc 2.02
Tc 0.0000 0.0000 0.0000  2 F 2.02

**Space-group type**: P4/mmm, No. 123
**Formation energy (no corrections)**: 122 kJ per mole of atoms
**M_tot**: 6.00 μB/cell